Entry 1:
Density functional theory data (GGA-PBE) for CuPdPtS4 after structural relaxation.

Cell: 7.1215 7.1215 7.1215 Å, 121.22 119.75 89.17°
Last column: nearest neighbours and their distance in Å.
Positions (direct):
Cu1 0.3865 0.1365 0.2500  4 S 2.29-2.36
Cu2 0.6135 0.8635 0.7500  4 S 2.29-2.36
Pd1 0.0000 0.0000 0.5000  6 S 2.43-2.49
Pd2 0.0000 0.5000 0.0000  6 S 2.43-2.49
Pt1 0.0000 0.5000 0.5000  6 S 2.40-2.42
Pt2 0.5000 0.5000 0.0000  6 S 2.40-2.42
S1 0.2216 0.7368 0.4848  1 Cu 2.29, 1 Pt 2.40, 2 Pd 2.43
S2 0.2448 0.2620 0.5172  1 Cu 2.36, 2 Pt 2.42, 1 Pd 2.49
S3 0.2448 0.7276 0.9828  1 Cu 2.36, 2 Pt 2.42, 1 Pd 2.49
S4 0.2480 0.2632 0.9848  1 Cu 2.29, 1 Pt 2.40, 2 Pd 2.43
S5 0.7520 0.7368 0.0152  1 Cu 2.29, 1 Pt 2.40, 2 Pd 2.43
S6 0.7552 0.2724 0.0172  1 Cu 2.36, 2 Pt 2.42, 1 Pd 2.49
S7 0.7552 0.7380 0.4828  1 Cu 2.36, 2 Pt 2.42, 1 Pd 2.49
S8 0.7784 0.2632 0.5152  1 Cu 2.29, 1 Pt 2.40, 2 Pd 2.43

Summary:
Total magnetization in μB per formula unit: 0.00
ρ in g cm⁻³: 6.46
D(E_F) in states/eV/atom: 0.4007
SG: Imma
E_form (uncorrected) in eV/f.u.: -1.9
Raw total energy in eV/atom: -4.826


Entry 2:
Density functional theory data (GGA-PBE) for CuSb2Pd2Pt7 after structural relaxation.

Cell: 4.0005 4.0005 12.5222 Å, 90.07 90.07 88.59°
Last column: nearest neighbours and their distance in Å.
Positions (direct):
Cu1 0.0000 0.0000 0.0000  12 Pt 2.76-2.86
Sb1 0.0005 0.0005 0.6877  6 Pt 2.76-2.84, 4 Pd 2.79-2.87
Sb2 0.9995 0.9995 0.3123  6 Pt 2.76-2.84, 4 Pd 2.79-2.87
Pd1 0.5003 0.5003 0.3147  6 Pt 2.72-2.86, 4 Sb 2.79-2.87
Pd2 0.4997 0.4997 0.6853  6 Pt 2.72-2.86, 4 Sb 2.79-2.87
Pt1 0.0000 0.4997 0.1516  2 Cu 2.76, 6 Pt 2.76-2.86, 2 Sb 2.84, 2 Pd 2.86
Pt2 0.0000 0.5003 0.8484  2 Cu 2.76, 6 Pt 2.76-2.86, 2 Sb 2.84, 2 Pd 2.86
Pt3 0.2532 0.2532 0.4996  2 Pd 2.72, 2 Sb 2.76-2.77, 4 Pt 2.79-2.90
Pt4 0.4997 0.0000 0.1516  2 Cu 2.76, 6 Pt 2.76-2.86, 2 Sb 2.84, 2 Pd 2.86
Pt5 0.5003 0.0000 0.8484  2 Cu 2.76, 6 Pt 2.76-2.86, 2 Sb 2.84, 2 Pd 2.86
Pt6 0.5000 0.5000 0.0000  8 Pt 2.76, 4 Cu 2.79-2.86
Pt7 0.7468 0.7468 0.5004  2 Pd 2.72, 2 Sb 2.76-2.77, 4 Pt 2.79-2.90

Summary:
Total magnetization in μB per formula unit: 0.00
ρ in g cm⁻³: 15.63
D(E_F) in states/eV/atom: 0.7960
SG: C2/m
E_form (uncorrected) in eV/f.u.: -2.3
Raw total energy in eV/atom: -5.606


Entry 3:
Density functional theory data (GGA-PBE) for CuPdPtSe4 after structural relaxation.

Cell: 7.4939 7.4939 7.4939 Å, 120.89 119.69 89.50°
Last column: nearest neighbours and their distance in Å.
Positions (direct):
Cu1 0.3840 0.1340 0.2500  4 Se 2.43-2.49
Cu2 0.6160 0.8660 0.7500  4 Se 2.43-2.49
Pd1 0.0000 0.0000 0.5000  6 Se 2.55-2.58
Pd2 0.0000 0.5000 0.0000  6 Se 2.55-2.58
Pt1 0.0000 0.5000 0.5000  6 Se 2.54-2.55
Pt2 0.5000 0.5000 0.0000  6 Se 2.54-2.55
Se1 0.2215 0.7381 0.4834  1 Cu 2.43, 1 Pt 2.54, 2 Pd 2.55
Se2 0.2425 0.2604 0.5178  1 Cu 2.49, 2 Pt 2.55, 1 Pd 2.58
Se3 0.2425 0.7247 0.9822  1 Cu 2.49, 2 Pt 2.55, 1 Pd 2.58
Se4 0.2453 0.2619 0.9834  1 Cu 2.43, 1 Pt 2.54, 2 Pd 2.55
Se5 0.7547 0.7381 0.0166  1 Cu 2.43, 1 Pt 2.54, 2 Pd 2.55
Se6 0.7575 0.2753 0.0178  1 Cu 2.49, 2 Pt 2.55, 1 Pd 2.58
Se7 0.7575 0.7396 0.4822  1 Cu 2.49, 2 Pt 2.55, 1 Pd 2.58
Se8 0.7785 0.2619 0.5166  1 Cu 2.43, 1 Pt 2.54, 2 Pd 2.55

Summary:
Total magnetization in μB per formula unit: 0.00
ρ in g cm⁻³: 7.63
D(E_F) in states/eV/atom: 0.4015
SG: Imma
E_form (uncorrected) in eV/f.u.: -2.0
Raw total energy in eV/atom: -4.469


Entry 4:
Density functional theory data (GGA-PBE) for CuPd2PtSe after structural relaxation.

Cell: 4.9189 4.9189 4.6212 Å, 90.00 90.00 90.00°
Last column: nearest neighbours and their distance in Å.
Positions (direct):
Cu1 0.0000 0.0000 0.0000  2 Pt 2.31
Pd1 0.0000 0.5000 0.5000  2 Pt 2.46
Pd2 0.5000 0.0000 0.5000  2 Pt 2.46
Pt1 0.0000 0.0000 0.5000  2 Cu 2.31, 4 Pd 2.46
Se1 0.5000 0.5000 0.0000  8 Pd 3.37, 4 Cu 3.48

Summary:
Total magnetization in μB per formula unit: 0.00
ρ in g cm⁻³: 8.17
D(E_F) in states/eV/atom: 1.6446
SG: P4/mmm
E_form (uncorrected) in eV/f.u.: 4.7
Raw total energy in eV/atom: -3.860


Entry 5:
Density functional theory data (GGA-PBE) for CuPd2PtSe6 after structural relaxation.

Cell: 8.0695 8.0695 6.7798 Å, 104.67 104.67 95.63°
Last column: nearest neighbours and their distance in Å.
Positions (direct):
Cu1 0.2389 0.7611 0.7500  6 Se 2.50-2.68
Cu2 0.7611 0.2389 0.2500  6 Se 2.50-2.68
Pd1 0.2858 0.4581 0.2605  5 Se 2.51-2.77
Pd2 0.4581 0.2858 0.7605  5 Se 2.51-2.77
Pd3 0.5419 0.7142 0.2395  5 Se 2.51-2.77
Pd4 0.7142 0.5419 0.7395  5 Se 2.51-2.77
Pt1 0.0772 0.9228 0.2500  6 Se 2.51-2.55
Pt2 0.9228 0.0772 0.7500  6 Se 2.51-2.55
Se1 0.0420 0.2048 0.1531  1 Pd 2.51, 1 Cu 2.54, 2 Pt 2.55
Se2 0.0577 0.6385 0.3370  1 Pt 2.51, 1 Pd 2.53, 1 Cu 2.68, 1 Se 2.74
Se3 0.2048 0.0420 0.6531  1 Pd 2.51, 1 Cu 2.54, 2 Pt 2.55
Se4 0.2802 0.5046 0.8897  1 Cu 2.50, 3 Pd 2.51-2.77, 1 Se 2.74
Se5 0.3615 0.9423 0.1630  1 Pt 2.51, 1 Pd 2.53, 1 Cu 2.68, 1 Se 2.74
Se6 0.4954 0.7198 0.6103  1 Cu 2.50, 3 Pd 2.51-2.77, 1 Se 2.74
Se7 0.5046 0.2802 0.3897  1 Cu 2.50, 3 Pd 2.51-2.77, 1 Se 2.74
Se8 0.6385 0.0577 0.8370  1 Pt 2.51, 1 Pd 2.53, 1 Cu 2.68, 1 Se 2.74
Se9 0.7198 0.4954 0.1103  1 Cu 2.50, 3 Pd 2.51-2.77, 1 Se 2.74
Se10 0.7952 0.9580 0.3469  1 Pd 2.51, 1 Cu 2.54, 2 Pt 2.55
Se11 0.9423 0.3615 0.6630  1 Pt 2.51, 1 Pd 2.53, 1 Cu 2.68, 1 Se 2.74
Se12 0.9580 0.7952 0.8469  1 Pd 2.51, 1 Cu 2.54, 2 Pt 2.55

Summary:
Total magnetization in μB per formula unit: 0.00
ρ in g cm⁻³: 7.72
D(E_F) in states/eV/atom: 0.5170
SG: C2/c
E_form (uncorrected) in eV/f.u.: -2.1
Raw total energy in eV/atom: -4.352


Entry 6:
Density functional theory data (GGA-PBE) for SmCuPdPt after structural relaxation.

Cell: 6.6560 6.6560 6.6560 Å, 90.00 90.00 90.00°
Last column: nearest neighbours and their distance in Å.
Positions (direct):
Sm1 0.0000 0.0000 0.0000  4 Pt 2.88, 4 Pd 2.88
Sm2 0.0000 0.5000 0.5000  4 Pd 2.88, 4 Pt 2.88
Sm3 0.5000 0.0000 0.5000  4 Pd 2.88, 4 Pt 2.88
Sm4 0.5000 0.5000 0.0000  4 Pd 2.88, 4 Pt 2.88
Cu1 0.0000 0.0000 0.5000  4 Pd 2.88, 4 Pt 2.88
Cu2 0.0000 0.5000 0.0000  4 Pd 2.88, 4 Pt 2.88
Cu3 0.5000 0.0000 0.0000  4 Pd 2.88, 4 Pt 2.88
Cu4 0.5000 0.5000 0.5000  4 Pd 2.88, 4 Pt 2.88
Pd1 0.2500 0.2500 0.7500  4 Cu 2.88, 4 Sm 2.88
Pd2 0.2500 0.7500 0.2500  4 Cu 2.88, 4 Sm 2.88
Pd3 0.7500 0.2500 0.2500  4 Cu 2.88, 4 Sm 2.88
Pd4 0.7500 0.7500 0.7500  4 Sm 2.88, 4 Cu 2.88
Pt1 0.2500 0.2500 0.2500  4 Cu 2.88, 4 Sm 2.88
Pt2 0.2500 0.7500 0.7500  4 Cu 2.88, 4 Sm 2.88
Pt3 0.7500 0.2500 0.7500  4 Cu 2.88, 4 Sm 2.88
Pt4 0.7500 0.7500 0.2500  4 Cu 2.88, 4 Sm 2.88

Summary:
Total magnetization in μB per formula unit: 0.00
ρ in g cm⁻³: 11.61
D(E_F) in states/eV/atom: 0.4018
SG: F-43m
Energy of formation in eV per atom: -0.56
Raw total energy in eV/atom: -5.575


Entry 7:
Density functional theory data (GGA-PBE) for TaCuPdPt after structural relaxation.

Cell: 3.9328 3.9328 7.7814 Å, 90.00 90.00 90.00°
Last column: nearest neighbours and their distance in Å.
Positions (direct):
Ta1 0.0000 0.0000 0.0000  4 Pt 2.77, 4 Pd 2.77, 4 Cu 2.78
Ta2 0.5000 0.5000 0.5000  4 Pd 2.77, 4 Pt 2.77, 4 Cu 2.78
Cu1 0.0000 0.0000 0.5000  4 Pd 2.77, 4 Pt 2.77, 4 Ta 2.78
Cu2 0.5000 0.5000 0.0000  4 Pd 2.77, 4 Pt 2.77, 4 Ta 2.78
Pd1 0.0000 0.5000 0.2500  4 Ta 2.77, 4 Cu 2.77, 4 Pt 2.78
Pd2 0.5000 0.0000 0.7500  4 Ta 2.77, 4 Cu 2.77, 4 Pt 2.78
Pt1 0.0000 0.5000 0.7500  4 Ta 2.77, 4 Cu 2.77, 4 Pd 2.78
Pt2 0.5000 0.0000 0.2500  4 Ta 2.77, 4 Cu 2.77, 4 Pd 2.78

Summary:
Total magnetization in μB per formula unit: 0.00
ρ in g cm⁻³: 15.07
D(E_F) in states/eV/atom: 0.4426
SG: I-4m2
Energy of formation in eV per atom: -0.46
Raw total energy in eV/atom: -7.251


Entry 8:
Density functional theory data (GGA-PBE) for TaCuPdPt after structural relaxation.

Cell: 6.2685 6.2685 6.2685 Å, 90.00 90.00 90.00°
Last column: nearest neighbours and their distance in Å.
Positions (direct):
Ta1 0.0000 0.0000 0.0000  4 Pt 2.71, 4 Pd 2.71
Ta2 0.0000 0.5000 0.5000  4 Pt 2.71, 4 Pd 2.71
Ta3 0.5000 0.0000 0.5000  4 Pt 2.71, 4 Pd 2.71
Ta4 0.5000 0.5000 0.0000  4 Pt 2.71, 4 Pd 2.71
Cu1 0.0000 0.0000 0.5000  4 Pd 2.71, 4 Pt 2.71
Cu2 0.0000 0.5000 0.0000  4 Pd 2.71, 4 Pt 2.71
Cu3 0.5000 0.0000 0.0000  4 Pd 2.71, 4 Pt 2.71
Cu4 0.5000 0.5000 0.5000  4 Pd 2.71, 4 Pt 2.71
Pd1 0.2500 0.2500 0.2500  4 Ta 2.71, 4 Cu 2.71
Pd2 0.2500 0.7500 0.7500  4 Ta 2.71, 4 Cu 2.71
Pd3 0.7500 0.2500 0.7500  4 Ta 2.71, 4 Cu 2.71
Pd4 0.7500 0.7500 0.2500  4 Ta 2.71, 4 Cu 2.71
Pt1 0.2500 0.2500 0.7500  4 Ta 2.71, 4 Cu 2.71
Pt2 0.2500 0.7500 0.2500  4 Ta 2.71, 4 Cu 2.71
Pt3 0.7500 0.2500 0.2500  4 Ta 2.71, 4 Cu 2.71
Pt4 0.7500 0.7500 0.7500  4 Ta 2.71, 4 Cu 2.71

Summary:
Total magnetization in μB per formula unit: 0.00
ρ in g cm⁻³: 14.72
D(E_F) in states/eV/atom: 0.5812
SG: F-43m
Energy of formation in eV per atom: -0.35
Raw total energy in eV/atom: -7.149


Entry 9:
Density functional theory data (GGA-PBE) for TaCuPdPt2 after structural relaxation.

Cell: 4.5641 4.5641 4.4741 Å, 90.00 90.00 90.00°
Last column: nearest neighbours and their distance in Å.
Positions (direct):
Ta1 0.0000 0.0000 0.0000  2 Cu 2.24
Cu1 0.0000 0.0000 0.5000  2 Ta 2.24, 4 Pt 2.28
Pd1 0.5000 0.5000 0.0000  8 Pt 3.20, 4 Ta 3.23
Pt1 0.0000 0.5000 0.5000  2 Cu 2.28
Pt2 0.5000 0.0000 0.5000  2 Cu 2.28

Summary:
Total magnetization in μB per formula unit: 0.00
ρ in g cm⁻³: 13.20
D(E_F) in states/eV/atom: 1.6063
SG: P4/mmm
Energy of formation in eV per atom: 0.95
Raw total energy in eV/atom: -5.696


Entry 10:
Density functional theory data (GGA-PBE) for Tb2Cu2PdPt5 after structural relaxation.

Cell: 9.2514 9.2514 3.9957 Å, 90.00 90.00 90.00°
Last column: nearest neighbours and their distance in Å.
Positions (direct):
Tb1 0.1800 0.3200 0.0000  3 Cu 2.64-2.82
Tb2 0.3200 0.8200 0.0000  3 Cu 2.64-2.82
Tb3 0.6800 0.1800 0.0000  3 Cu 2.64-2.82
Tb4 0.8200 0.6800 0.0000  3 Cu 2.64-2.82
Cu1 0.1185 0.6185 0.0000  6 Pt 2.53-2.62, 3 Tb 2.64-2.82
Cu2 0.3815 0.1185 0.0000  6 Pt 2.53-2.62, 3 Tb 2.64-2.82
Cu3 0.6185 0.8815 0.0000  6 Pt 2.53-2.62, 3 Tb 2.64-2.82
Cu4 0.8815 0.3815 0.0000  6 Pt 2.53-2.62, 3 Tb 2.64-2.82
Pd1 0.0000 0.0000 0.0000  8 Pt 2.83
Pd2 0.5000 0.5000 0.0000  8 Pt 2.83
Pt1 0.0000 0.5000 0.5000  4 Cu 2.53, 4 Pt 2.79
Pt2 0.0670 0.7937 0.5000  2 Cu 2.62, 3 Pt 2.79-2.84, 2 Pd 2.83
Pt3 0.2063 0.0670 0.5000  2 Cu 2.62, 3 Pt 2.79-2.84, 2 Pd 2.83
Pt4 0.2937 0.5670 0.5000  2 Cu 2.62, 3 Pt 2.79-2.84, 2 Pd 2.83
Pt5 0.4330 0.2937 0.5000  2 Cu 2.62, 3 Pt 2.79-2.84, 2 Pd 2.83
Pt6 0.5000 0.0000 0.5000  4 Cu 2.53, 4 Pt 2.79
Pt7 0.5670 0.7063 0.5000  2 Cu 2.62, 3 Pt 2.79-2.84, 2 Pd 2.83
Pt8 0.7063 0.4330 0.5000  2 Cu 2.62, 3 Pt 2.79-2.84, 2 Pd 2.83
Pt9 0.7937 0.9330 0.5000  2 Cu 2.62, 3 Pt 2.79-2.84, 2 Pd 2.83
Pt10 0.9330 0.2063 0.5000  2 Cu 2.62, 3 Pt 2.79-2.84, 2 Pd 2.83

Summary:
Total magnetization in μB per formula unit: 0.00
ρ in g cm⁻³: 14.83
D(E_F) in states/eV/atom: 0.7236
SG: P4/mbm
Energy of formation in eV per atom: -0.74
Raw total energy in eV/atom: -6.029